A plane-wave DFT calculation with PBE with a Hubbard U was carried out for crystalline Ho2WO6 at its relaxed geometry.

Cell and atoms, written as extended XYZ:
```
36
Lattice="5.259 0.000 0.000 0.000 9.130 0.000 0.000 0.000 9.962" Properties=species:S:1:pos:R:3 pbc="T T T"
Ho 0.084 3.618 0.347
Ho 0.214 2.568 6.265
Ho 2.415 6.563 1.284
Ho 2.546 5.512 5.327
Ho 2.713 0.947 9.615
Ho 2.844 1.998 3.697
Ho 5.045 7.133 8.678
Ho 5.175 8.183 4.634
W 0.198 0.039 1.513
W 2.432 9.091 6.494
W 2.827 4.526 8.448
W 5.061 4.604 3.467
O 0.479 6.003 4.666
O 0.919 4.992 1.988
O 0.942 7.877 6.784
O 1.014 7.834 2.631
O 1.230 3.504 4.298
O 1.336 0.809 5.026
O 1.294 8.321 0.045
O 1.399 5.626 9.279
O 1.616 1.296 7.611
O 1.687 1.254 1.803
O 1.711 4.138 6.969
O 2.151 3.127 9.647
O 3.108 7.692 5.295
O 3.548 8.703 7.974
O 3.572 5.819 3.178
O 3.643 5.861 7.331
O 3.860 1.061 5.663
O 3.965 3.756 4.935
O 3.923 5.374 9.916
O 4.028 8.069 0.683
O 4.245 3.269 2.350
O 4.317 3.312 8.158
O 4.340 0.427 2.993
O 4.780 1.438 0.315
```

* total magnetization: 0.0000 μB/atom
* energy relative to the lowest polymorph listed for this composition: 5.4 meV/atom